# 1
! NbVO4, relaxed, DFT PBE+U; values from VASP
! Volume, Å³ per atom: 11.7
! Total DFT energy (no corrections), eV per atom: -8.58
&SYSTEM
  ibrav = 0, nat = 12, ntyp = 3
/
ATOMIC_SPECIES
Nb 92.91 Nb.upf
V 50.94 V.upf
O 16.00 O.upf
ATOMIC_POSITIONS crystal
Nb 0.000 0.000 0.000
Nb 0.000 0.500 0.500
V 0.500 0.000 0.500
V 0.500 0.500 0.000
O 0.146 0.203 0.340
O 0.146 0.297 0.840
O 0.341 0.697 0.643
O 0.341 0.803 0.143
O 0.659 0.197 0.857
O 0.659 0.303 0.357
O 0.854 0.703 0.160
O 0.854 0.797 0.660
CELL_PARAMETERS angstrom
5.690 0.000 0.000
0.000 4.770 0.000
-2.353 0.000 5.166

***

# 2
! NbVO4, relaxed, DFT PBE+U; values from VASP
! Volume, Å³ per atom: 11.5
! Total DFT energy (no corrections), eV per atom: -8.59
&SYSTEM
  ibrav = 0, nat = 24, ntyp = 3
/
ATOMIC_SPECIES
Nb 92.91 Nb.upf
V 50.94 V.upf
O 16.00 O.upf
ATOMIC_POSITIONS crystal
Nb 0.180 0.247 0.356
Nb 0.180 0.253 0.856
Nb 0.820 0.747 0.144
Nb 0.820 0.753 0.644
V 0.330 0.745 0.180
V 0.330 0.755 0.680
V 0.670 0.245 0.320
V 0.670 0.255 0.820
O 0.075 0.579 0.199
O 0.075 0.921 0.699
O 0.192 0.082 0.077
O 0.192 0.418 0.577
O 0.304 0.579 0.924
O 0.304 0.921 0.424
O 0.419 0.099 0.803
O 0.419 0.401 0.303
O 0.581 0.599 0.697
O 0.581 0.901 0.197
O 0.696 0.079 0.576
O 0.696 0.421 0.076
O 0.808 0.582 0.423
O 0.808 0.918 0.923
O 0.925 0.079 0.301
O 0.925 0.421 0.801
CELL_PARAMETERS angstrom
7.243 0.000 0.000
0.000 5.142 0.000
-1.418 0.000 7.439

***

# 3
! NbVO5, relaxed, DFT PBE+U; values from VASP
! Energy above the most stable polymorph in this dataset, meV/atom: 29
! Volume, Å³ per atom: 14.2
! Total DFT energy (no corrections), eV per atom: -8.24
&SYSTEM
  ibrav = 0, nat = 14, ntyp = 3
/
ATOMIC_SPECIES
Nb 92.91 Nb.upf
V 50.94 V.upf
O 16.00 O.upf
ATOMIC_POSITIONS crystal
Nb 0.250 0.250 0.198
Nb 0.750 0.750 0.802
V 0.250 0.750 0.500
V 0.750 0.250 0.500
O 0.040 0.752 0.731
O 0.248 0.540 0.269
O 0.250 0.250 0.772
O 0.252 0.960 0.269
O 0.460 0.748 0.731
O 0.540 0.252 0.269
O 0.748 0.040 0.731
O 0.750 0.750 0.228
O 0.752 0.460 0.731
O 0.960 0.248 0.269
CELL_PARAMETERS angstrom
6.881 0.000 0.000
0.000 6.881 0.000
0.000 0.000 4.205

***

# 4
! NbVO4, relaxed, DFT PBE+U; values from VASP
! Volume, Å³ per atom: 11.3
! Total DFT energy (no corrections), eV per atom: -8.57
&SYSTEM
  ibrav = 0, nat = 24, ntyp = 3
/
ATOMIC_SPECIES
Nb 92.91 Nb.upf
V 50.94 V.upf
O 16.00 O.upf
ATOMIC_POSITIONS crystal
Nb 0.000 0.172 0.250
Nb 0.000 0.828 0.750
Nb 0.500 0.328 0.750
Nb 0.500 0.672 0.250
V 0.000 0.433 0.250
V 0.000 0.567 0.750
V 0.500 0.067 0.750
V 0.500 0.933 0.250
O 0.231 0.308 0.072
O 0.231 0.692 0.572
O 0.244 0.438 0.585
O 0.244 0.562 0.085
O 0.256 0.062 0.085
O 0.256 0.938 0.585
O 0.269 0.192 0.572
O 0.269 0.808 0.072
O 0.731 0.192 0.928
O 0.731 0.808 0.428
O 0.744 0.062 0.415
O 0.744 0.938 0.915
O 0.756 0.438 0.915
O 0.756 0.562 0.415
O 0.769 0.308 0.428
O 0.769 0.692 0.928
CELL_PARAMETERS angstrom
4.584 0.000 0.000
0.000 11.902 0.000
0.000 0.000 4.988

***

> Which formula does entry 1 have?

NbVO4

***

> The lowest total DFT energy (no corrections) belongs to which entry?

number 2

***

> Which formula does entry 1 have?

NbVO4